# Tl12H5Pt3, optimized geometry, DFT PBE-GGA
# Energy, Ry per atom: -0.2180
data_Tl12H5Pt3
_cell_length_a 15.276
_cell_length_b 15.276
_cell_length_c 15.276
_cell_angle_alpha 90.00
_cell_angle_beta 90.00
_cell_angle_gamma 90.00
_space_group_name_H-M_alt 'I a -3 d'
_space_group_IT_number 230
_space_group_name_Hall '-I 4bd 2c 3'
loop_
_atom_site_label
_atom_site_type_symbol
_atom_site_fract_x
_atom_site_fract_y
_atom_site_fract_z
_atom_site_occupancy
Tl1 Tl 0.030 0.061 0.653 1
H1 H 0.000 0.000 0.000 1
H2 H 0.000 0.250 0.375 1
Pt1 Pt 0.000 0.250 0.125 1

***

# Tl2H3Pt, optimized geometry, DFT PBE-GGA
# Energy, Ry per atom: -0.2533
data_Tl2H3Pt
_cell_length_a 8.381
_cell_length_b 5.943
_cell_length_c 8.342
_cell_angle_alpha 90.00
_cell_angle_beta 98.99
_cell_angle_gamma 90.00
_space_group_name_H-M_alt 'C 1 2/c 1'
_space_group_IT_number 15
loop_
_space_group_symop_operation_xyz
'x,y,z'
'-x,-y,-z'
'-x,y,-z+1/2'
'x,-y,z+1/2'
'x+1/2,y+1/2,z'
'-x+1/2,-y+1/2,-z'
'-x+1/2,y+1/2,-z+1/2'
'x+1/2,-y+1/2,z+1/2'
loop_
_atom_site_label
_atom_site_type_symbol
_atom_site_fract_x
_atom_site_fract_y
_atom_site_fract_z
_atom_site_occupancy
Tl1 Tl 0.159 0.166 0.154 1
H1 H 0.000 0.482 0.250 1
H2 H 0.061 0.261 0.570 1
Pt1 Pt 0.000 0.243 0.750 1

***

# ZrTlHPt2, optimized geometry, DFT PBE-GGA
# Energy, Ry per atom: -0.3950
data_ZrTlHPt2
_cell_length_a 4.102
_cell_length_b 4.102
_cell_length_c 4.683
_cell_angle_alpha 90.00
_cell_angle_beta 90.00
_cell_angle_gamma 90.00
_space_group_name_H-M_alt 'P 4/m m m'
_space_group_IT_number 123
_space_group_name_Hall '-P 4 2'
loop_
_atom_site_label
_atom_site_type_symbol
_atom_site_fract_x
_atom_site_fract_y
_atom_site_fract_z
_atom_site_occupancy
Zr1 Zr 0.000 0.000 0.000 1
Tl1 Tl 0.500 0.500 0.000 1
H1 H 0.500 0.500 0.500 1
Pt1 Pt 0.000 0.500 0.500 1

***

# Zr2TlHPt, optimized geometry, DFT PBE-GGA
# Energy, Ry per atom: -0.4534
data_Zr2TlHPt
_cell_length_a 4.480
_cell_length_b 4.480
_cell_length_c 4.157
_cell_angle_alpha 90.00
_cell_angle_beta 90.00
_cell_angle_gamma 90.00
_space_group_name_H-M_alt 'P 4/m m m'
_space_group_IT_number 123
_space_group_name_Hall '-P 4 2'
loop_
_atom_site_label
_atom_site_type_symbol
_atom_site_fract_x
_atom_site_fract_y
_atom_site_fract_z
_atom_site_occupancy
Zr1 Zr 0.000 0.500 0.000 1
Tl1 Tl 0.000 0.000 0.500 1
H1 H 0.500 0.500 0.000 1
Pt1 Pt 0.500 0.500 0.500 1

***

# Tm4HPt2, optimized geometry, DFT PBE-GGA
# Energy, Ry per atom: -0.4111
data_Tm4HPt2
_cell_length_a 4.536
_cell_length_b 4.536
_cell_length_c 14.367
_cell_angle_alpha 90.00
_cell_angle_beta 90.00
_cell_angle_gamma 90.00
_space_group_name_H-M_alt 'I 4/m m m'
_space_group_IT_number 139
_space_group_name_Hall '-I 4 2'
loop_
_atom_site_label
_atom_site_type_symbol
_atom_site_fract_x
_atom_site_fract_y
_atom_site_fract_z
_atom_site_occupancy
Tm1 Tm 0.000 0.000 0.185 1
Tm2 Tm 0.000 0.500 0.000 1
H1 H 0.000 0.000 0.000 1
Pt1 Pt 0.000 0.000 0.374 1

***

# TmHPt2, optimized geometry, DFT PBE-GGA
# Energy, Ry per atom: -0.3567
data_TmHPt2
_cell_length_a 2.9771
_cell_length_b 2.9771
_cell_length_c 23.6563
_cell_angle_alpha 90.00
_cell_angle_beta 90.00
_cell_angle_gamma 120.00
_space_group_name_H-M_alt 'R -3 m'
_space_group_IT_number 166
_space_group_name_Hall '-R 3 2"'
loop_
_atom_site_label
_atom_site_type_symbol
_atom_site_fract_x
_atom_site_fract_y
_atom_site_fract_z
_atom_site_occupancy
Tm1 Tm 0.0000 0.0000 0.0000 1
H1 H 0.0000 0.0000 0.5000 1
Pt1 Pt 0.0000 0.0000 0.1135 1

***

# Tm6HPt2, optimized geometry, DFT PBE-GGA
# Energy, Ry per atom: -0.3997
data_Tm6HPt2
_cell_length_a 6.334
_cell_length_b 6.970
_cell_length_c 11.322
_cell_angle_alpha 90.00
_cell_angle_beta 123.05
_cell_angle_gamma 90.00
_space_group_name_H-M_alt 'P 1 21/c 1'
_space_group_IT_number 14
loop_
_space_group_symop_operation_xyz
'x,y,z'
'-x,-y,-z'
'-x,y+1/2,-z+1/2'
'x,-y+1/2,z+1/2'
loop_
_atom_site_label
_atom_site_type_symbol
_atom_site_fract_x
_atom_site_fract_y
_atom_site_fract_z
_atom_site_occupancy
Tm1 Tm 0.114 0.182 0.440 1
Tm2 Tm 0.263 0.677 0.438 1
Tm3 Tm 0.384 0.026 0.249 1
H1 H 0.500 0.000 0.500 1
Pt1 Pt 0.190 0.114 0.746 1

***

# Tm12H5Pt3, optimized geometry, DFT PBE-GGA
# Energy, Ry per atom: -0.3676
data_Tm12H5Pt3
_cell_length_a 14.916
_cell_length_b 14.916
_cell_length_c 14.916
_cell_angle_alpha 90.00
_cell_angle_beta 90.00
_cell_angle_gamma 90.00
_space_group_name_H-M_alt 'I a -3 d'
_space_group_IT_number 230
_space_group_name_Hall '-I 4bd 2c 3'
loop_
_atom_site_label
_atom_site_type_symbol
_atom_site_fract_x
_atom_site_fract_y
_atom_site_fract_z
_atom_site_occupancy
Tm1 Tm 0.036 0.059 0.655 1
H1 H 0.000 0.000 0.000 1
H2 H 0.000 0.250 0.375 1
Pt1 Pt 0.000 0.250 0.125 1

***

# TmH3Pt, optimized geometry, DFT PBE-GGA
# Energy, Ry per atom: -0.3340
data_TmH3Pt
_cell_length_a 3.692
_cell_length_b 3.692
_cell_length_c 3.692
_cell_angle_alpha 90.00
_cell_angle_beta 90.00
_cell_angle_gamma 90.00
_space_group_name_H-M_alt 'P m -3 m'
_space_group_IT_number 221
_space_group_name_Hall '-P 4 2 3'
loop_
_atom_site_label
_atom_site_type_symbol
_atom_site_fract_x
_atom_site_fract_y
_atom_site_fract_z
_atom_site_occupancy
Tm1 Tm 0.000 0.000 0.000 1
H1 H 0.000 0.500 0.500 1
Pt1 Pt 0.500 0.500 0.500 1

***

# TmH3Pt, optimized geometry, DFT PBE-GGA
# Energy, Ry per atom: -0.3436
data_TmH3Pt
_cell_length_a 5.684
_cell_length_b 4.771
_cell_length_c 8.024
_cell_angle_alpha 90.00
_cell_angle_beta 90.00
_cell_angle_gamma 90.00
_space_group_name_H-M_alt 'P n m a'
_space_group_IT_number 62
loop_
_space_group_symop_operation_xyz
'x,y,z'
'-x,-y,-z'
'-x+1/2,-y,z+1/2'
'x+1/2,y,-z+1/2'
'x+1/2,-y+1/2,-z+1/2'
'-x+1/2,y+1/2,z+1/2'
'-x,y+1/2,-z'
'x,-y+1/2,z'
loop_
_atom_site_label
_atom_site_type_symbol
_atom_site_fract_x
_atom_site_fract_y
_atom_site_fract_z
_atom_site_occupancy
Tm1 Tm 0.249 0.250 0.084 1
H1 H 0.095 0.042 0.361 1
H2 H 0.111 0.750 0.037 1
Pt1 Pt 0.052 0.750 0.243 1

***

# U3H12Pt5, optimized geometry, DFT PBE-GGA
# Energy, Ry per atom: -0.3872
data_U3H12Pt5
_cell_length_a 11.940
_cell_length_b 11.940
_cell_length_c 11.940
_cell_angle_alpha 90.00
_cell_angle_beta 90.00
_cell_angle_gamma 90.00
_space_group_name_H-M_alt 'I a -3 d'
_space_group_IT_number 230
_space_group_name_Hall '-I 4bd 2c 3'
loop_
_atom_site_label
_atom_site_type_symbol
_atom_site_fract_x
_atom_site_fract_y
_atom_site_fract_z
_atom_site_occupancy
U1 U 0.000 0.250 0.125 1
H1 H 0.035 0.050 0.640 1
Pt1 Pt 0.000 0.000 0.000 1
Pt2 Pt 0.000 0.250 0.375 1

***

# UHPt2, optimized geometry, DFT PBE-GGA
# Energy, Ry per atom: -0.4793
data_UHPt2
_cell_length_a 2.9064
_cell_length_b 2.9064
_cell_length_c 24.1782
_cell_angle_alpha 90.00
_cell_angle_beta 90.00
_cell_angle_gamma 120.00
_space_group_name_H-M_alt 'R -3 m'
_space_group_IT_number 166
_space_group_name_Hall '-R 3 2"'
loop_
_atom_site_label
_atom_site_type_symbol
_atom_site_fract_x
_atom_site_fract_y
_atom_site_fract_z
_atom_site_occupancy
U1 U 0.0000 0.0000 0.0000 1
H1 H 0.0000 0.0000 0.5000 1
Pt1 Pt 0.0000 0.0000 0.1116 1

***

Number 1: DOS(E_F) 0.33 states/eV/atom, total magnetization 0.0 μB per formula unit. Number 2: DOS(E_F) 0.14 states/eV/atom, total magnetization 0.0 μB per formula unit. Number 3: DOS(E_F) 0.91 states/eV/atom, total magnetization 0.0 μB per formula unit. Number 4: DOS(E_F) 0.90 states/eV/atom, total magnetization 0.0 μB per formula unit. Number 5: DOS(E_F) 0.97 states/eV/atom, total magnetization 0.0 μB per formula unit. Number 6: DOS(E_F) 0.50 states/eV/atom, total magnetization 0.0 μB per formula unit. Number 7: DOS(E_F) 0.99 states/eV/atom, total magnetization 0.0 μB per formula unit. Number 8: DOS(E_F) 0.93 states/eV/atom, total magnetization 0.0 μB per formula unit. Number 9: DOS(E_F) 0.59 states/eV/atom, total magnetization 0.0 μB per formula unit. Number 10: DOS(E_F) 0.06 states/eV/atom, total magnetization 0.0 μB per formula unit. Number 11: DOS(E_F) 0.94 states/eV/atom, total magnetization 9.5 μB per formula unit. Number 12: DOS(E_F) 1.32 states/eV/atom, total magnetization 2.4 μB per formula unit.